Material: Sr2CaAu
Method: DFT, PBE
State: relaxed

Output
As for the energy above the most stable polymorph in this dataset: 0.074 eV/atom. The space-group type is P4/mmm. The formation enthalpy at 0 K comes out at -1.5 eV/f.u.

Unit cell a=3.905 b=3.905 c=9.924 alpha=90.00 beta=90.00 gamma=90.00
Sites, in units of the cell vectors:
Sr: 0.000 0.000 0.186
Sr: 0.000 0.000 0.814
Ca: 0.500 0.500 0.500
Au: 0.500 0.500 0.000

Material: Pm4GeSb
Method: DFT, PBE
State: relaxed

Output
As for the raw formation energy: -475 meV/atom. The space-group type is P2_1/c.

Unit cell a=7.394 b=7.395 c=7.360 alpha=90.00 beta=90.15 gamma=90.00
Sites, in units of the cell vectors:
Pm: 0.145 0.163 0.166
Pm: 0.145 0.337 0.666
Pm: 0.334 0.648 0.145
Pm: 0.334 0.852 0.645
Pm: 0.666 0.148 0.355
Pm: 0.666 0.352 0.855
Pm: 0.855 0.663 0.334
Pm: 0.855 0.837 0.834
Ge: 0.000 0.000 0.500
Ge: 0.000 0.500 0.000
Sb: 0.500 0.000 0.000
Sb: 0.500 0.500 0.500

Material: LiLuTlIr
Method: DFT, PBE
State: relaxed

Output
The space-group type is F-43m. The formation enthalpy at 0 K comes out at -1.5 eV/f.u.

Unit cell a=4.748 b=4.748 c=4.748 alpha=60.00 beta=60.00 gamma=60.00
Sites, in units of the cell vectors:
Li: 0.000 0.000 0.000
Lu: 0.750 0.750 0.750
Tl: 0.250 0.250 0.250
Ir: 0.500 0.500 0.500

Material: Tb4ErPd5
Method: DFT, PBE
State: relaxed

Output
As for the energy above the most stable polymorph in this dataset: 0.000 eV/atom. The space-group type is P4/mmm. The formation enthalpy at 0 K comes out at -8.7 eV/f.u.

Unit cell a=3.479 b=3.479 c=17.919 alpha=90.00 beta=90.00 gamma=90.00
Sites, in units of the cell vectors:
Tb: 0.000 0.000 0.101
Tb: 0.000 0.000 0.302
Tb: 0.000 0.000 0.698
Tb: 0.000 0.000 0.899
Er: 0.000 0.000 0.500
Pd: 0.500 0.500 0.000
Pd: 0.500 0.500 0.201
Pd: 0.500 0.500 0.404
Pd: 0.500 0.500 0.596
Pd: 0.500 0.500 0.799

Material: CrSb3Rh
Method: DFT, PBE
State: relaxed

Output
As for the energy above the most stable polymorph in this dataset: 0.000 eV/atom. As for the raw formation energy: 699 meV/atom. The space-group type is Pm-3m.

Unit cell a=4.912 b=4.912 c=4.912 alpha=90.00 beta=90.00 gamma=90.00
Sites, in units of the cell vectors:
Cr: 0.000 0.000 0.000
Sb: 0.000 0.000 0.500
Sb: 0.000 0.500 0.000
Sb: 0.500 0.000 0.000
Rh: 0.500 0.500 0.500

Material: LiLa2AgF
Method: DFT, PBE
State: relaxed

Output
As for the raw formation energy: -1098 meV/atom. The space-group type is P4/mmm.

Unit cell a=5.334 b=5.334 c=4.003 alpha=90.00 beta=90.00 gamma=90.00
Sites, in units of the cell vectors:
Li: 0.000 0.000 0.000
La: 0.000 0.500 0.500
La: 0.500 0.000 0.500
Ag: 0.500 0.500 0.000
F: 0.000 0.000 0.500

Material: Pm2Tl2Hg
Method: DFT, PBE
State: relaxed

Output
As for the energy above the most stable polymorph in this dataset: 0.102 eV/atom. The space-group type is C2/m. The formation enthalpy at 0 K comes out at -1.2 eV/f.u.

Unit cell a=6.336 b=6.336 c=7.080 alpha=123.82 beta=123.82 gamma=39.84
Sites, in units of the cell vectors:
Pm: 0.224 0.224 0.226
Pm: 0.776 0.776 0.774
Tl: 0.499 0.499 0.214
Tl: 0.501 0.501 0.786
Hg: 0.000 0.000 0.500

Material: Fe2MoIr2
Method: DFT, PBE
State: relaxed

Output
As for the energy above the most stable polymorph in this dataset: 0.116 eV/atom. The space-group type is P4/mbm. The formation enthalpy at 0 K comes out at 0.8 eV/f.u.

Unit cell a=7.147 b=7.147 c=2.660 alpha=90.00 beta=90.00 gamma=90.00
Sites, in units of the cell vectors:
Fe: 0.169 0.331 0.000
Fe: 0.331 0.831 0.000
Fe: 0.669 0.169 0.000
Fe: 0.831 0.669 0.000
Mo: 0.000 0.000 0.500
Mo: 0.500 0.500 0.500
Ir: 0.129 0.629 0.500
Ir: 0.371 0.129 0.500
Ir: 0.629 0.871 0.500
Ir: 0.871 0.371 0.500

Material: CaReH2S
Method: DFT, PBE
State: relaxed

Output
The space-group type is P4/mmm.

Unit cell a=3.679 b=3.679 c=6.830 alpha=90.00 beta=90.00 gamma=90.00
Sites, in units of the cell vectors:
Ca: 0.000 0.000 0.000
Re: 0.000 0.000 0.500
H: 0.000 0.500 0.000
H: 0.500 0.000 0.000
S: 0.500 0.500 0.500

Material: NiHg3Se
Method: DFT, PBE
State: relaxed

Output
As for the energy above the most stable polymorph in this dataset: 0.000 eV/atom. As for the raw formation energy: 346 meV/atom. The space-group type is Pm-3m.

Unit cell a=5.012 b=5.012 c=5.012 alpha=90.00 beta=90.00 gamma=90.00
Sites, in units of the cell vectors:
Ni: 0.000 0.000 0.000
Hg: 0.000 0.000 0.500
Hg: 0.000 0.500 0.000
Hg: 0.500 0.000 0.000
Se: 0.500 0.500 0.500

Material: Ca2Mg5Si8H2O24
Method: DFT, PBE
State: relaxed

Output
The space-group type is C2/m.

Unit cell a=10.404 b=10.404 c=5.340 alpha=96.89 beta=96.89 gamma=122.54
Sites, in units of the cell vectors:
Ca: 0.222 0.778 0.000
Ca: 0.778 0.222 0.000
Mg: 0.323 0.677 0.500
Mg: 0.412 0.588 0.000
Mg: 0.500 0.500 0.500
Mg: 0.588 0.412 0.000
Mg: 0.677 0.323 0.500
Si: 0.042 0.384 0.698
Si: 0.139 0.307 0.206
Si: 0.307 0.139 0.206
Si: 0.384 0.042 0.698
Si: 0.616 0.958 0.302
Si: 0.693 0.861 0.794
Si: 0.861 0.693 0.794
Si: 0.958 0.616 0.302
H: 0.292 0.292 0.736
H: 0.708 0.708 0.264
O: 0.023 0.290 0.405
O: 0.040 0.277 0.915
O: 0.114 0.620 0.293
O: 0.166 0.166 0.211
O: 0.209 0.554 0.777
O: 0.277 0.040 0.915
O: 0.290 0.023 0.405
O: 0.303 0.477 0.284
O: 0.380 0.886 0.707
O: 0.392 0.392 0.786
O: 0.446 0.791 0.223
O: 0.477 0.303 0.284
O: 0.523 0.697 0.716
O: 0.554 0.209 0.777
O: 0.608 0.608 0.214
O: 0.620 0.114 0.293
O: 0.697 0.523 0.716
O: 0.710 0.977 0.595
O: 0.723 0.960 0.085
O: 0.791 0.446 0.223
O: 0.834 0.834 0.789
O: 0.886 0.380 0.707
O: 0.960 0.723 0.085
O: 0.977 0.710 0.595

Material: HoTmSb
Method: DFT, PBE
State: relaxed

Output
As for the raw formation energy: -547 meV/atom. The space-group type is C2/m.

Unit cell a=6.088 b=6.088 c=8.047 alpha=103.96 beta=103.96 gamma=39.99
Sites, in units of the cell vectors:
Ho: 0.126 0.126 0.443
Ho: 0.874 0.874 0.557
Tm: 0.386 0.386 0.194
Tm: 0.614 0.614 0.806
Sb: 0.318 0.318 0.804
Sb: 0.682 0.682 0.196

Material: ErTm3In2
Method: DFT, PBE
State: relaxed

Output
As for the energy above the most stable polymorph in this dataset: 0.039 eV/atom. The space-group type is P2/m. The formation enthalpy at 0 K comes out at -1.6 eV/f.u.

Unit cell a=5.302 b=3.762 c=8.632 alpha=90.00 beta=107.83 gamma=90.00
Sites, in units of the cell vectors:
Er: 0.000 0.000 0.000
Tm: 0.178 0.500 0.356
Tm: 0.500 0.500 0.000
Tm: 0.822 0.500 0.644
In: 0.346 0.000 0.692
In: 0.654 0.000 0.308

Material: NdSbAu
Method: DFT, PBE
State: relaxed

Output
As for the raw formation energy: -620 meV/atom. The space-group type is I4mm.

Unit cell a=5.444 b=5.444 c=5.444 alpha=134.56 beta=134.56 gamma=66.21
Sites, in units of the cell vectors:
Nd: 0.000 0.000 0.000
Sb: 0.650 0.650 0.000
Au: 0.334 0.334 0.000

Material: Th2CdF11
Method: DFT, PBE
State: relaxed

Output
As for the raw formation energy: -3329 meV/atom. The space-group type is Ibam.

Unit cell a=8.818 b=8.818 c=8.818 alpha=121.06 beta=105.10 gamma=102.91
Sites, in units of the cell vectors:
Th: 0.185 0.147 0.332
Th: 0.315 0.647 0.962
Th: 0.685 0.353 0.038
Th: 0.815 0.853 0.668
Cd: 0.250 0.750 0.500
Cd: 0.750 0.250 0.500
F: 0.000 0.000 0.000
F: 0.028 0.456 0.766
F: 0.063 0.865 0.647
F: 0.190 0.956 0.428
F: 0.212 0.878 0.090
F: 0.218 0.417 0.353
F: 0.282 0.635 0.199
F: 0.288 0.378 0.666
F: 0.310 0.739 0.766
F: 0.437 0.083 0.801
F: 0.472 0.239 0.428
F: 0.500 0.500 0.000
F: 0.528 0.761 0.572
F: 0.563 0.917 0.199
F: 0.690 0.261 0.234
F: 0.712 0.622 0.334
F: 0.718 0.365 0.801
F: 0.782 0.583 0.647
F: 0.788 0.122 0.910
F: 0.810 0.044 0.572
F: 0.937 0.135 0.353
F: 0.972 0.544 0.234

Material: Pm8Mg2In
Method: DFT, PBE
State: relaxed

Output
The space-group type is C2/m. The formation enthalpy at 0 K comes out at -1.0 eV/f.u.

Unit cell a=9.210 b=9.210 c=8.110 alpha=107.56 beta=107.56 gamma=31.33
Sites, in units of the cell vectors:
Pm: 0.052 0.052 0.229
Pm: 0.136 0.136 0.689
Pm: 0.320 0.320 0.573
Pm: 0.409 0.409 0.056
Pm: 0.591 0.591 0.944
Pm: 0.680 0.680 0.427
Pm: 0.864 0.864 0.311
Pm: 0.948 0.948 0.771
Mg: 0.227 0.227 0.133
Mg: 0.773 0.773 0.867
In: 0.500 0.500 0.500

Material: MnBiPd5
Method: DFT, PBE
State: relaxed

Output
As for the energy above the most stable polymorph in this dataset: 0.382 eV/atom. The space-group type is Imm2. The formation enthalpy at 0 K comes out at 1.0 eV/f.u.

Unit cell a=5.720 b=5.720 c=5.720 alpha=125.44 beta=104.36 gamma=99.92
Sites, in units of the cell vectors:
Mn: 0.000 0.000 0.000
Bi: 0.359 0.859 0.500
Pd: 0.009 0.509 0.500
Pd: 0.129 0.316 0.813
Pd: 0.503 0.316 0.187
Pd: 0.675 0.432 0.758
Pd: 0.675 0.917 0.242

Material: Tm6Bi3Te
Method: DFT, PBE
State: relaxed

Output
As for the raw formation energy: -561 meV/atom. The space-group type is Cmc2_1.

Unit cell a=9.363 b=9.363 c=7.417 alpha=90.00 beta=90.00 gamma=104.67
Sites, in units of the cell vectors:
Tm: 0.003 0.997 0.500
Tm: 0.077 0.544 0.511
Tm: 0.247 0.753 0.125
Tm: 0.278 0.397 0.097
Tm: 0.397 0.278 0.597
Tm: 0.456 0.923 0.511
Tm: 0.544 0.077 0.011
Tm: 0.603 0.722 0.097
Tm: 0.722 0.603 0.597
Tm: 0.753 0.247 0.625
Tm: 0.923 0.456 0.011
Tm: 0.997 0.003 0.000
Bi: 0.091 0.279 0.758
Bi: 0.279 0.091 0.258
Bi: 0.411 0.589 0.431
Bi: 0.589 0.411 0.931
Bi: 0.721 0.909 0.758
Bi: 0.909 0.721 0.258
Te: 0.168 0.832 0.753
Te: 0.832 0.168 0.253

Material: Li2HoEr3Se6
Method: DFT, PBE
State: relaxed

Output
As for the raw formation energy: -1715 meV/atom. The space-group type is C2/m.

Unit cell a=6.939 b=6.939 c=6.961 alpha=99.57 beta=99.57 gamma=119.98
Sites, in units of the cell vectors:
Li: 0.168 0.832 0.000
Li: 0.832 0.168 0.000
Ho: 0.500 0.500 0.000
Er: 0.000 0.000 0.500
Er: 0.334 0.666 0.500
Er: 0.666 0.334 0.500
Se: 0.080 0.419 0.756
Se: 0.243 0.243 0.244
Se: 0.419 0.080 0.756
Se: 0.581 0.920 0.244
Se: 0.757 0.757 0.756
Se: 0.920 0.581 0.244

Material: NaPmRu
Method: DFT, PBE
State: relaxed

Output
The space-group type is I4/mmm. The formation enthalpy at 0 K comes out at 0.5 eV/f.u.

Unit cell a=14.713 b=14.713 c=14.713 alpha=166.70 beta=166.70 gamma=18.85
Sites, in units of the cell vectors:
Na: 0.060 0.060 0.000
Na: 0.940 0.940 0.000
Pm: 0.335 0.335 0.000
Pm: 0.665 0.665 0.000
Ru: 0.231 0.231 0.000
Ru: 0.769 0.769 0.000

Material: Y2Mg2Ga4Au
Method: DFT, PBE
State: relaxed

Output
The space-group type is I4/mmm. The formation enthalpy at 0 K comes out at -3.9 eV/f.u.

Unit cell a=6.418 b=6.418 c=6.418 alpha=120.24 beta=120.24 gamma=89.59
Sites, in units of the cell vectors:
Y: 0.250 0.750 0.500
Y: 0.750 0.250 0.500
Mg: 0.217 0.217 0.000
Mg: 0.783 0.783 0.000
Ga: 0.215 0.215 0.430
Ga: 0.215 0.785 0.000
Ga: 0.785 0.215 0.000
Ga: 0.785 0.785 0.570
Au: 0.500 0.500 0.000

Material: LaBeNiRh2
Method: DFT, PBE
State: relaxed

Output
The space-group type is P4/mmm. The formation enthalpy at 0 K comes out at -2.4 eV/f.u.

Unit cell a=4.345 b=4.345 c=4.192 alpha=90.00 beta=90.00 gamma=90.00
Sites, in units of the cell vectors:
La: 0.000 0.000 0.000
Be: 0.500 0.500 0.500
Ni: 0.500 0.500 0.000
Rh: 0.000 0.500 0.500
Rh: 0.500 0.000 0.500

no.,ρ (Mg/m³),E (eV for the cell shown)
1,4.52,-10.2
2,6.39,-61.2
3,12.69,-19.2
4,10.22,-57.8
5,7.29,-25.8
6,6.00,-22.0
7,10.18,-15.7
8,14.47,-89.4
9,4.68,-20.9
10,9.75,-8.4
11,2.86,-294.0
12,8.17,-29.6
13,9.16,-25.1
14,9.53,-14.0
15,5.10,-165.9
16,6.47,-44.9
17,9.76,-38.0
18,9.33,-94.5
19,7.00,-63.6
20,5.30,-29.7
21,6.26,-35.4
22,8.65,-31.5